# 1
# Cr2AsHO6

An optimized crystal structure of Cr2AsHO6 (GGA+U, the Alexandria database).

Output
- SG = P1, No. 1
- total DFT energy (no corrections) (eV per atom) = -6.8014
- V (A^3/atom) = 10.07

Lattice parameters (Å, degrees): 5.033 5.005 5.499 62.20 62.70 59.07
Last column: magnetic moment on the atom in μB.
Atoms (fractional coordinates):
As  0.325  0.337  0.028  0.03
Cr  0.997  0.025  0.959  2.97
Cr  0.512  0.536  0.436  3.01
O  0.581  0.261  0.216  -0.02
O  0.236  0.970  0.206  -0.02
O  0.686  0.144  0.757  -0.04
O  0.102  0.433  0.727  -0.04
O  0.381  0.721  0.753  -0.04
O  0.937  0.599  0.209  -0.03
H  0.904  0.635  0.725  0.00

# 2
# CrAs2HO6

An optimized crystal structure of CrAs2HO6 (GGA+U, the Alexandria database).

Output
- SG = C2/c, No. 15
- total DFT energy (no corrections) (eV per atom) = -6.0430
- V (A^3/atom) = 13.25

Lattice parameters (Å, degrees): 4.650 8.521 8.521 54.87 75.60 75.60
Last column: magnetic moment on the atom in μB.
Atoms (fractional coordinates):
O  0.513  0.417  0.258  -0.01
O  0.013  0.258  0.417  -0.01
O  0.987  0.742  0.583  -0.01
O  0.396  0.116  0.040  -0.44
O  0.519  0.262  0.657  -0.05
O  0.487  0.583  0.742  -0.01
O  0.604  0.884  0.960  -0.44
O  0.481  0.738  0.343  -0.05
O  0.896  0.040  0.116  -0.44
O  0.104  0.960  0.884  -0.44
O  0.019  0.657  0.262  -0.05
O  0.981  0.343  0.738  -0.05
As  0.864  0.521  0.806  0.00
As  0.364  0.806  0.521  0.00
As  0.636  0.194  0.479  0.00
As  0.136  0.479  0.194  0.00
Cr  0.750  0.112  0.888  2.13
Cr  0.250  0.888  0.112  2.13
H  0.750  0.697  0.303  0.00
H  0.250  0.303  0.697  0.00